A relaxed AlCr2Te crystal, computed with PBE-GGA.

Geometry as POSCAR:
```
AlCr2Te
1.0
1.6625 0.9599 7.7557
-1.6625 0.9599 7.7557
0.0000 -1.9197 7.7557
Al Cr Te
1 2 1
direct
0.0000 0.0000 0.0000
0.2516 0.2516 0.2516
0.7484 0.7484 0.7484
0.5000 0.5000 0.5000
```

Results
The value obtained for the offset from the most stable computed form is 0.92 eV/f.u. The value obtained for the spin magnetization is 6.14 μB per cell. Its mass density is 5.782 g/cm3.